Entry 1:
This record from Alexandria via LeMat-Bulk describes a relaxed Cs2NaV2F7 crystal. The functional is GGA+U.

## Properties
Total DFT energy (no corrections) in eV per atom: -5.274
M_tot in μB per atom: 0.5000
Fermi-level density of states in states/eV/cell: 0.00
Density in g/cm3: 4.1

abc: 4.2621 4.2621 12.0031
angles: 79.89 79.89 90.02
Closest atoms and distances in Å follow each position.
Sites, in units of the cell vectors:
Cs1 0.8185 0.8185 0.3658  9 F 3.01-3.16
Cs2 0.1815 0.1815 0.6342  9 F 3.01-3.16
Na1 0.0000 0.0000 0.0000  12 F 2.90-3.01
V1 0.5879 0.5879 0.8222  6 F 2.07-2.14
V2 0.4121 0.4121 0.1778  6 F 2.07-2.14
F1 0.5000 0.5000 0.0000  2 V 2.07
F2 0.3207 0.3207 0.3620  1 V 2.14
F3 0.6793 0.6793 0.6380  1 V 2.14
F4 0.9165 0.4169 0.1690  2 V 2.13
F5 0.4169 0.9165 0.1690  2 V 2.13
F6 0.5831 0.0835 0.8310  2 V 2.13
F7 0.0835 0.5831 0.8310  2 V 2.13

=====

Entry 2:
This record from Alexandria via LeMat-Bulk describes a relaxed Cs3Na2VF9 crystal. The functional is GGA+U.

## Properties
Total DFT energy (no corrections) in eV per atom: -4.759
M_tot in μB per atom: 0.0765
Fermi-level density of states in states/eV/cell: 0.00
Density in g/cm3: 3.9

abc: 6.4258 6.4258 7.8801
angles: 90.00 90.00 120.00
Closest atoms and distances in Å follow each position.
Sites, in units of the cell vectors:
Cs1 0.3333 0.6667 0.7068  9 F 2.96-3.28
Cs2 0.0000 0.0000 0.0000  12 F 3.21-3.28
Cs3 0.6667 0.3333 0.2932  9 F 2.96-3.28
Na1 0.3333 0.6667 0.1531  3 F 2.21
Na2 0.6667 0.3333 0.8469  3 F 2.21
V1 0.0000 0.0000 0.5000  6 F 1.89
F1 0.8591 0.1409 0.6347  1 V 1.89
F2 0.8591 0.7181 0.6347  1 V 1.89
F3 0.2819 0.1409 0.6347  1 V 1.89
F4 0.7181 0.8591 0.3653  1 V 1.89
F5 0.1409 0.2819 0.3653  1 V 1.89
F6 0.1409 0.8591 0.3653  1 V 1.89
F7 0.5000 0.0000 0.0000  2 Na 2.21
F8 0.0000 0.5000 0.0000  2 Na 2.21
F9 0.5000 0.5000 0.0000  2 Na 2.21

=====

Entry 3:
This record from Alexandria via LeMat-Bulk describes a relaxed Cs2NaVF6 crystal. The functional is GGA+U.

## Properties
Total DFT energy (no corrections) in eV per atom: -5.014
M_tot in μB per atom: 0.2000
Fermi-level density of states in states/eV/cell: 14.28
Density in g/cm3: 4.1

abc: 10.9792 10.9792 10.9792
angles: 33.78 33.78 33.78
Closest atoms and distances in Å follow each position.
Sites, in units of the cell vectors:
Cs1 0.7178 0.7178 0.7178  12 F 3.18-3.39
Cs2 0.2822 0.2822 0.2822  12 F 3.18-3.39
Cs3 0.1276 0.1276 0.1276  12 F 3.19-3.28
Cs4 0.8724 0.8724 0.8724  12 F 3.19-3.28
Na1 0.5967 0.5967 0.5967  6 F 2.29-2.41
Na2 0.4033 0.4033 0.4033  6 F 2.29-2.41
F1 0.1855 0.7381 0.1855  1 V 2.00
F2 0.6054 0.6054 0.1745  1 V 1.98
F3 0.2619 0.8145 0.8145  1 V 2.00
F4 0.1745 0.6054 0.6054  1 V 1.98
F5 0.8145 0.2619 0.8145  1 V 2.00
F6 0.6054 0.1745 0.6054  1 V 1.98
F7 0.7381 0.1855 0.1855  1 V 2.00
F8 0.1855 0.1855 0.7381  1 V 2.00
F9 0.8255 0.3946 0.3946  1 V 1.98
F10 0.8145 0.8145 0.2619  1 V 2.00
F11 0.3946 0.3946 0.8255  1 V 1.98
F12 0.3946 0.8255 0.3946  1 V 1.98
V1 0.0000 0.0000 0.0000  6 F 2.00
V2 0.5000 0.5000 0.5000  6 F 1.98

=====

Entry 4:
This record from Alexandria via LeMat-Bulk describes a relaxed Cs4NaV3F12 crystal. The functional is GGA+U.

## Properties
Total DFT energy (no corrections) in eV per atom: -5.246
M_tot in μB per atom: 0.4000
Fermi-level density of states in states/eV/cell: 22.13
Density in g/cm3: 4.6

abc: 7.5888 7.5888 7.5888
angles: 109.47 109.47 109.47
Closest atoms and distances in Å follow each position.
Sites, in units of the cell vectors:
Cs1 0.5000 0.5000 0.5000  12 F 3.10
Cs2 0.0000 0.0000 0.5000  12 F 3.10
Cs3 0.5000 0.0000 0.0000  12 F 3.10
Cs4 0.0000 0.5000 0.0000  12 F 3.10
Na1 0.0000 0.0000 0.0000  6 F 2.37
V1 0.5000 0.0000 0.5000  6 F 2.02-2.19
V2 0.5000 0.5000 0.0000  6 F 2.02-2.19
V3 0.0000 0.5000 0.5000  6 F 2.02-2.19
F1 0.2500 0.5000 0.7500  2 V 2.19
F2 0.7300 0.0000 0.7300  1 V 2.02
F3 0.2700 0.0000 0.2700  1 V 2.02
F4 0.7500 0.5000 0.2500  2 V 2.19
F5 0.7300 0.7300 0.0000  1 V 2.02
F6 0.2700 0.2700 0.0000  1 V 2.02
F7 0.7500 0.2500 0.5000  2 V 2.19
F8 0.2500 0.7500 0.5000  2 V 2.19
F9 0.5000 0.2500 0.7500  2 V 2.19
F10 0.0000 0.7300 0.7300  1 V 2.02
F11 0.5000 0.7500 0.2500  2 V 2.19
F12 0.0000 0.2700 0.2700  1 V 2.02

=====

Entry 5:
This record from Alexandria via LeMat-Bulk describes a relaxed Cs2NaV3F12 crystal. The functional is GGA+U.

## Properties
Total DFT energy (no corrections) in eV per atom: -5.586
M_tot in μB per atom: 0.3333
Fermi-level density of states in states/eV/cell: 0.00
Density in g/cm3: 3.6

abc: 7.6147 7.6147 7.6147
angles: 60.05 60.05 60.05
Closest atoms and distances in Å follow each position.
Sites, in units of the cell vectors:
Cs1 0.6241 0.6241 0.6241  3 F 3.09
Cs2 0.3759 0.3759 0.3759  3 F 3.09
Na1 0.0000 0.0000 0.0000  6 F 2.35
V1 0.5000 0.0000 0.0000  6 F 1.92-2.00
V2 0.0000 0.5000 0.0000  6 F 1.92-2.00
V3 0.0000 0.0000 0.5000  6 F 1.92-2.00
F1 0.3031 0.3031 0.9158  2 V 2.00
F2 0.9103 0.9103 0.3715  1 V 1.92
F3 0.3715 0.9103 0.9103  1 V 1.92
F4 0.9158 0.3031 0.3031  2 V 2.00
F5 0.9103 0.3715 0.9103  1 V 1.92
F6 0.3031 0.9158 0.3031  2 V 2.00
F7 0.6969 0.6969 0.0842  2 V 2.00
F8 0.0897 0.0897 0.6285  1 V 1.92
F9 0.6285 0.0897 0.0897  1 V 1.92
F10 0.0842 0.6969 0.6969  2 V 2.00
F11 0.0897 0.6285 0.0897  1 V 1.92
F12 0.6969 0.0842 0.6969  2 V 2.00

=====

Entry 6:
This record from Alexandria via LeMat-Bulk describes a relaxed CsNa2WF8 crystal. The functional is GGA+U.

## Properties
Total DFT energy (no corrections) in eV per atom: -4.847
M_tot in μB per atom: 0.0833
Fermi-level density of states in states/eV/cell: 0.00
Density in g/cm3: 3.6

abc: 5.2159 5.6003 8.4551
angles: 83.58 84.22 77.66
Closest atoms and distances in Å follow each position.
Sites, in units of the cell vectors:
Cs1 0.0000 0.0000 0.5000  2 F 2.79
Na1 0.4594 0.4663 0.6940  4 F 2.17-2.39
Na2 0.5406 0.5337 0.3060  4 F 2.17-2.39
W1 0.0000 0.0000 0.0000  6 F 1.91-1.97
F1 0.2107 0.8089 0.1674  1 W 1.96
F2 0.7534 0.7927 0.0598  1 W 1.91
F3 0.8157 0.2271 0.1553  1 W 1.97
F4 0.7893 0.1911 0.8326  1 W 1.96
F5 0.2466 0.2073 0.9402  1 W 1.91
F6 0.1843 0.7729 0.8447  1 W 1.97
F7 0.6430 0.6904 0.5087  2 Na 2.17
F8 0.3570 0.3096 0.4913  2 Na 2.17

=====

Entry 7:
This record from Alexandria via LeMat-Bulk describes a relaxed Cs2NaWF6 crystal. The functional is GGA+U.

## Properties
Total DFT energy (no corrections) in eV per atom: -4.933
M_tot in μB per atom: 0.3000
Fermi-level density of states in states/eV/cell: 0.00
Density in g/cm3: 5.3

abc: 6.3981 6.3981 6.3951
angles: 59.98 59.98 90.00
Closest atoms and distances in Å follow each position.
Sites, in units of the cell vectors:
Cs1 0.7500 0.2500 0.5000  12 F 3.20
Cs2 0.2500 0.7500 0.5000  12 F 3.20
Na1 0.5000 0.5000 0.0000  6 F 2.39-2.40
W1 0.0000 0.0000 0.0000  6 F 2.13
F1 0.2360 0.2360 0.5280  1 W 2.13, 1 Na 2.39
F2 0.7640 0.7640 0.4720  1 W 2.13, 1 Na 2.39
F3 0.2353 0.2353 0.0000  1 W 2.13
F4 0.7647 0.7647 0.0000  1 W 2.13
F5 0.7647 0.2353 0.0000  1 W 2.13
F6 0.2353 0.7647 0.0000  1 W 2.13

=====

Entry 8:
This record from Alexandria via LeMat-Bulk describes a relaxed CsNaWF6 crystal. The functional is GGA+U.

## Properties
Total DFT energy (no corrections) in eV per atom: -5.135
M_tot in μB per atom: 0.2222
Fermi-level density of states in states/eV/cell: 0.00
Density in g/cm3: 3.9

abc: 5.9172 5.9172 12.7506
angles: 90.00 90.00 120.00
Closest atoms and distances in Å follow each position.
Sites, in units of the cell vectors:
Cs1 0.0000 0.0000 0.0000  6 F 3.01
Cs2 0.0000 0.0000 0.5000  6 F 3.01
Na1 0.3333 0.6667 0.2500  6 F 2.38
Na2 0.6667 0.3333 0.7500  6 F 2.38
W1 0.6667 0.3333 0.2500  6 F 2.02
W2 0.3333 0.6667 0.7500  6 F 2.02
F1 0.6478 0.6032 0.1588  1 W 2.02
F2 0.9554 0.3522 0.1588  1 W 2.02
F3 0.3522 0.9554 0.6588  1 W 2.02
F4 0.0446 0.6478 0.8412  1 W 2.02
F5 0.3968 0.3522 0.3412  1 W 2.02
F6 0.9554 0.6032 0.3412  1 W 2.02
F7 0.6032 0.9554 0.8412  1 W 2.02
F8 0.6478 0.0446 0.3412  1 W 2.02
F9 0.0446 0.3968 0.6588  1 W 2.02
F10 0.3968 0.0446 0.1588  1 W 2.02
F11 0.6032 0.6478 0.6588  1 W 2.02
F12 0.3522 0.3968 0.8412  1 W 2.02